No. 1
# ErCuSnSe3, relaxed, DFT GGA-PBE
data_ErCuSnSe3
_chemical_formula_sum 'Er2 Cu2 Sn2 Se6'
_cell_length_a 7.024
_cell_length_b 7.024
_cell_length_c 10.483
_cell_angle_alpha 90.00
_cell_angle_beta 90.00
_cell_angle_gamma 146.86
_space_group_name_H-M_alt 'P 1'
_space_group_IT_number 1
loop_
_space_group_symop_operation_xyz
'x,y,z'
loop_
_atom_site_label
_atom_site_fract_x
_atom_site_fract_y
_atom_site_fract_z
Er1 0.000 0.000 0.000
Er2 0.000 0.000 0.500
Cu1 0.468 0.532 0.750
Cu2 0.532 0.468 0.250
Sn1 0.239 0.761 0.250
Sn2 0.761 0.239 0.750
Se1 0.082 0.918 0.750
Se2 0.358 0.642 0.564
Se3 0.358 0.642 0.936
Se4 0.642 0.358 0.064
Se5 0.642 0.358 0.436
Se6 0.918 0.082 0.250
# Density (g cm⁻³): 6.89
# Crystal system: orthorhombic
# E above lowest polymorph (eV per atom): 0.003

No. 2
# ErCuSnSe3, relaxed, DFT GGA-PBE
data_ErCuSnSe3
_chemical_formula_sum 'Er4 Cu4 Sn4 Se12'
_cell_length_a 13.548
_cell_length_b 4.006
_cell_length_c 10.748
_cell_angle_alpha 90.00
_cell_angle_beta 90.00
_cell_angle_gamma 90.00
_space_group_name_H-M_alt 'P 1'
_space_group_IT_number 1
loop_
_space_group_symop_operation_xyz
'x,y,z'
loop_
_atom_site_label
_atom_site_fract_x
_atom_site_fract_y
_atom_site_fract_z
Er1 0.014 0.250 0.171
Er2 0.486 0.750 0.671
Er3 0.514 0.250 0.329
Er4 0.986 0.750 0.829
Cu1 0.009 0.750 0.416
Cu2 0.491 0.250 0.916
Cu3 0.509 0.750 0.084
Cu4 0.991 0.250 0.584
Sn1 0.219 0.250 0.459
Sn2 0.281 0.750 0.959
Sn3 0.719 0.250 0.041
Sn4 0.781 0.750 0.541
Se1 0.106 0.750 0.616
Se2 0.110 0.250 0.936
Se3 0.145 0.750 0.259
Se4 0.355 0.250 0.759
Se5 0.390 0.750 0.436
Se6 0.394 0.250 0.116
Se7 0.606 0.750 0.884
Se8 0.610 0.250 0.564
Se9 0.645 0.750 0.241
Se10 0.855 0.250 0.741
Se11 0.890 0.750 0.064
Se12 0.894 0.250 0.384
# Density (g cm⁻³): 6.68
# Crystal system: orthorhombic
# E above lowest polymorph (eV per atom): 0.011

No. 3
# ErCuSnSe3, relaxed, DFT GGA-PBE
data_ErCuSnSe3
_chemical_formula_sum 'Er4 Cu4 Sn4 Se12'
_cell_length_a 11.350
_cell_length_b 4.160
_cell_length_c 11.678
_cell_angle_alpha 90.00
_cell_angle_beta 90.00
_cell_angle_gamma 90.00
_space_group_name_H-M_alt 'P 1'
_space_group_IT_number 1
loop_
_space_group_symop_operation_xyz
'x,y,z'
loop_
_atom_site_label
_atom_site_fract_x
_atom_site_fract_y
_atom_site_fract_z
Er1 0.018 0.250 0.187
Er2 0.482 0.750 0.687
Er3 0.518 0.250 0.313
Er4 0.982 0.750 0.813
Cu1 0.241 0.750 0.299
Cu2 0.259 0.250 0.799
Cu3 0.741 0.750 0.201
Cu4 0.759 0.250 0.701
Sn1 0.188 0.250 0.494
Sn2 0.312 0.750 0.994
Sn3 0.688 0.250 0.006
Sn4 0.812 0.750 0.506
Se1 0.036 0.750 0.361
Se2 0.098 0.250 0.937
Se3 0.225 0.750 0.687
Se4 0.275 0.250 0.187
Se5 0.402 0.750 0.437
Se6 0.464 0.250 0.861
Se7 0.536 0.750 0.139
Se8 0.598 0.250 0.563
Se9 0.725 0.750 0.813
Se10 0.775 0.250 0.313
Se11 0.902 0.750 0.063
Se12 0.964 0.250 0.639
# Density (g cm⁻³): 7.06
# Crystal system: orthorhombic
# E above lowest polymorph (eV per atom): 0.046

No. 4
# ErCuSnSe3, relaxed, DFT GGA-PBE
data_ErCuSnSe3
_chemical_formula_sum 'Er2 Cu2 Sn2 Se6'
_cell_length_a 9.268
_cell_length_b 9.268
_cell_length_c 8.192
_cell_angle_alpha 102.79
_cell_angle_beta 102.79
_cell_angle_gamma 25.00
_space_group_name_H-M_alt 'P 1'
_space_group_IT_number 1
loop_
_space_group_symop_operation_xyz
'x,y,z'
loop_
_atom_site_label
_atom_site_fract_x
_atom_site_fract_y
_atom_site_fract_z
Er1 0.162 0.162 0.084
Er2 0.838 0.838 0.916
Cu1 0.460 0.460 0.792
Cu2 0.540 0.540 0.208
Sn1 0.125 0.125 0.568
Sn2 0.875 0.875 0.432
Se1 0.000 0.000 0.000
Se2 0.324 0.324 0.671
Se3 0.325 0.325 0.151
Se4 0.500 0.500 0.500
Se5 0.675 0.675 0.849
Se6 0.676 0.676 0.329
# Density (g cm⁻³): 6.72
# Crystal system: monoclinic
# E above lowest polymorph (eV per atom): 0.059

No. 5
# ErCuSnSe3, relaxed, DFT GGA-PBE
data_ErCuSnSe3
_chemical_formula_sum 'Er4 Cu4 Sn4 Se12'
_cell_length_a 10.533
_cell_length_b 4.020
_cell_length_c 13.449
_cell_angle_alpha 90.00
_cell_angle_beta 90.00
_cell_angle_gamma 90.00
_space_group_name_H-M_alt 'P 1'
_space_group_IT_number 1
loop_
_space_group_symop_operation_xyz
'x,y,z'
loop_
_atom_site_label
_atom_site_fract_x
_atom_site_fract_y
_atom_site_fract_z
Er1 0.020 0.250 0.241
Er2 0.480 0.750 0.741
Er3 0.520 0.250 0.259
Er4 0.980 0.750 0.759
Cu1 0.237 0.250 0.720
Cu2 0.263 0.750 0.220
Cu3 0.737 0.250 0.780
Cu4 0.763 0.750 0.280
Sn1 0.218 0.750 0.505
Sn2 0.282 0.250 0.005
Sn3 0.718 0.750 0.995
Sn4 0.782 0.250 0.495
Se1 0.044 0.250 0.614
Se2 0.088 0.750 0.102
Se3 0.235 0.750 0.832
Se4 0.265 0.250 0.332
Se5 0.412 0.250 0.602
Se6 0.456 0.750 0.114
Se7 0.544 0.250 0.886
Se8 0.588 0.750 0.398
Se9 0.735 0.750 0.668
Se10 0.765 0.250 0.168
Se11 0.912 0.250 0.898
Se12 0.956 0.750 0.386
# Density (g cm⁻³): 6.84
# Crystal system: orthorhombic
# E above lowest polymorph (eV per atom): 0.000

No. 6
# ErCuSnSe3, relaxed, DFT GGA-PBE
data_ErCuSnSe3
_chemical_formula_sum 'Er4 Cu4 Sn4 Se12'
_cell_length_a 11.386
_cell_length_b 4.164
_cell_length_c 11.683
_cell_angle_alpha 90.00
_cell_angle_beta 90.00
_cell_angle_gamma 90.00
_space_group_name_H-M_alt 'P 1'
_space_group_IT_number 1
loop_
_space_group_symop_operation_xyz
'x,y,z'
loop_
_atom_site_label
_atom_site_fract_x
_atom_site_fract_y
_atom_site_fract_z
Er1 0.017 0.250 0.185
Er2 0.483 0.750 0.685
Er3 0.517 0.250 0.315
Er4 0.983 0.750 0.815
Cu1 0.242 0.750 0.300
Cu2 0.258 0.250 0.800
Cu3 0.742 0.750 0.200
Cu4 0.758 0.250 0.700
Sn1 0.183 0.250 0.500
Sn2 0.317 0.750 0.000
Sn3 0.683 0.250 0.000
Sn4 0.817 0.750 0.500
Se1 0.037 0.750 0.360
Se2 0.098 0.250 0.938
Se3 0.226 0.750 0.687
Se4 0.274 0.250 0.187
Se5 0.402 0.750 0.438
Se6 0.463 0.250 0.860
Se7 0.537 0.750 0.140
Se8 0.598 0.250 0.562
Se9 0.726 0.750 0.813
Se10 0.774 0.250 0.313
Se11 0.902 0.750 0.062
Se12 0.963 0.250 0.640
# Density (g cm⁻³): 7.03
# Crystal system: orthorhombic
# E above lowest polymorph (eV per atom): 0.046

No. 7
# ErCuSnTe2Se, relaxed, DFT GGA-PBE
data_ErCuSnTe2Se
_chemical_formula_sum 'Er2 Cu2 Sn2 Te4 Se2'
_cell_length_a 7.491
_cell_length_b 7.491
_cell_length_c 10.486
_cell_angle_alpha 90.00
_cell_angle_beta 90.00
_cell_angle_gamma 147.55
_space_group_name_H-M_alt 'P 1'
_space_group_IT_number 1
loop_
_space_group_symop_operation_xyz
'x,y,z'
loop_
_atom_site_label
_atom_site_fract_x
_atom_site_fract_y
_atom_site_fract_z
Er1 0.000 0.000 0.000
Er2 0.000 0.000 0.500
Cu1 0.476 0.524 0.750
Cu2 0.524 0.476 0.250
Sn1 0.256 0.744 0.250
Sn2 0.744 0.256 0.750
Te1 0.352 0.648 0.562
Te2 0.352 0.648 0.938
Te3 0.648 0.352 0.062
Te4 0.648 0.352 0.438
Se1 0.074 0.926 0.750
Se2 0.926 0.074 0.250
# Total energy (eV/atom): -4.418
# Density (g cm⁻³): 7.19
# Crystal system: orthorhombic

No. 8
# SrErCuSe3, relaxed, DFT GGA-PBE
data_SrErCuSe3
_chemical_formula_sum 'Sr2 Er2 Cu2 Se6'
_cell_length_a 8.432
_cell_length_b 4.061
_cell_length_c 9.123
_cell_angle_alpha 90.00
_cell_angle_beta 104.89
_cell_angle_gamma 90.00
_space_group_name_H-M_alt 'P 1'
_space_group_IT_number 1
loop_
_space_group_symop_operation_xyz
'x,y,z'
loop_
_atom_site_label
_atom_site_fract_x
_atom_site_fract_y
_atom_site_fract_z
Sr1 0.198 0.250 0.248
Sr2 0.802 0.750 0.752
Er1 0.320 0.750 0.837
Er2 0.680 0.250 0.163
Cu1 0.080 0.250 0.587
Cu2 0.920 0.750 0.413
Se1 0.095 0.250 0.864
Se2 0.228 0.750 0.520
Se3 0.442 0.750 0.163
Se4 0.558 0.250 0.837
Se5 0.772 0.250 0.480
Se6 0.905 0.750 0.136
# Total energy (eV/atom): -4.946
# Density (g cm⁻³): 6.11
# Crystal system: monoclinic

No. 9
# SrErCuSe3, relaxed, DFT GGA-PBE
data_SrErCuSe3
_chemical_formula_sum 'Sr2 Er2 Cu2 Se6'
_cell_length_a 9.273
_cell_length_b 9.273
_cell_length_c 8.291
_cell_angle_alpha 102.41
_cell_angle_beta 102.41
_cell_angle_gamma 25.50
_space_group_name_H-M_alt 'P 1'
_space_group_IT_number 1
loop_
_space_group_symop_operation_xyz
'x,y,z'
loop_
_atom_site_label
_atom_site_fract_x
_atom_site_fract_y
_atom_site_fract_z
Sr1 0.128 0.128 0.070
Sr2 0.872 0.872 0.930
Er1 0.163 0.163 0.584
Er2 0.837 0.837 0.416
Cu1 0.462 0.462 0.291
Cu2 0.538 0.538 0.709
Se1 0.000 0.000 0.500
Se2 0.324 0.324 0.177
Se3 0.326 0.326 0.644
Se4 0.500 0.500 0.000
Se5 0.674 0.674 0.356
Se6 0.676 0.676 0.823
# Total energy (eV/atom): -4.871
# Density (g cm⁻³): 6.16
# Crystal system: monoclinic

No. 10
# SrErCuTe2Se, relaxed, DFT GGA-PBE
data_SrErCuTe2Se
_chemical_formula_sum 'Sr2 Er2 Cu2 Te4 Se2'
_cell_length_a 7.550
_cell_length_b 7.550
_cell_length_c 10.681
_cell_angle_alpha 90.00
_cell_angle_beta 90.00
_cell_angle_gamma 147.58
_space_group_name_H-M_alt 'P 1'
_space_group_IT_number 1
loop_
_space_group_symop_operation_xyz
'x,y,z'
loop_
_atom_site_label
_atom_site_fract_x
_atom_site_fract_y
_atom_site_fract_z
Sr1 0.236 0.764 0.750
Sr2 0.764 0.236 0.250
Er1 0.500 0.500 0.000
Er2 0.500 0.500 0.500
Cu1 0.027 0.973 0.250
Cu2 0.973 0.027 0.750
Te1 0.144 0.856 0.061
Te2 0.144 0.856 0.439
Te3 0.856 0.144 0.561
Te4 0.856 0.144 0.939
Se1 0.429 0.571 0.250
Se2 0.571 0.429 0.750
# Total energy (eV/atom): -4.593
# Density (g cm⁻³): 6.64
# Crystal system: orthorhombic

No. 11
# ErZnCuSe3, relaxed, DFT GGA-PBE
data_ErZnCuSe3
_chemical_formula_sum 'Er2 Zn2 Cu2 Se6'
_cell_length_a 6.642
_cell_length_b 6.642
_cell_length_c 10.549
_cell_angle_alpha 90.00
_cell_angle_beta 90.00
_cell_angle_gamma 146.75
_space_group_name_H-M_alt 'P 1'
_space_group_IT_number 1
loop_
_space_group_symop_operation_xyz
'x,y,z'
loop_
_atom_site_label
_atom_site_fract_x
_atom_site_fract_y
_atom_site_fract_z
Er1 0.000 0.000 0.000
Er2 0.000 0.000 0.500
Zn1 0.230 0.770 0.750
Zn2 0.770 0.230 0.250
Cu1 0.480 0.520 0.250
Cu2 0.520 0.480 0.750
Se1 0.108 0.892 0.250
Se2 0.351 0.649 0.081
Se3 0.351 0.649 0.419
Se4 0.649 0.351 0.581
Se5 0.649 0.351 0.919
Se6 0.892 0.108 0.750
# Total energy (eV/atom): -4.162
# Density (g cm⁻³): 6.94
# Crystal system: orthorhombic

No. 12
# Er4Cu3Si, relaxed, DFT GGA-PBE
data_Er4Cu3Si
_chemical_formula_sum 'Er4 Cu3 Si1'
_cell_length_a 5.602
_cell_length_b 4.225
_cell_length_c 7.127
_cell_angle_alpha 90.00
_cell_angle_beta 91.02
_cell_angle_gamma 90.00
_space_group_name_H-M_alt 'P 1'
_space_group_IT_number 1
loop_
_space_group_symop_operation_xyz
'x,y,z'
loop_
_atom_site_label
_atom_site_fract_x
_atom_site_fract_y
_atom_site_fract_z
Er1 0.000 0.000 0.000
Er2 0.230 0.000 0.491
Er3 0.499 0.500 0.850
Er4 0.730 0.500 0.351
Cu1 0.242 0.500 0.210
Cu2 0.498 0.000 0.140
Cu3 0.739 0.000 0.640
Si1 0.002 0.500 0.714
# Total energy (eV/atom): -4.740
# Density (g cm⁻³): 8.74
# Crystal system: monoclinic

> density of number 2 (ErCuSnSe3)?

6.68 g cm⁻³

> The highest density belongs to which entry?

Er4Cu3Si

> What is the formula in the fifth record?

ErCuSnSe3

> Number 3 is which compound?

ErCuSnSe3